KPaRuO4 PBE-GGA optimized geometry; total energy = -7.79 eV/atom; space-group type = Imma (74)
1.0
-2.713 3.436 6.295
2.713 -3.436 6.295
2.713 3.436 -6.295
K Pa Ru O
2 2 2 8
Direct
0.437 0.187 0.250
0.563 0.813 0.750
0.000 0.500 0.500
0.500 0.500 0.000
0.000 0.000 0.500
0.000 0.500 0.000
0.123 0.680 0.442
0.262 0.320 0.942
0.272 0.289 0.517
0.272 0.756 0.983
0.728 0.244 0.017
0.728 0.711 0.483
0.738 0.680 0.058
0.877 0.320 0.558